6
Lattice="3.3484 -1.0314 4.4474 2.6139 4.2795 2.6282 -1.6334 1.5531 5.1937" Properties=species:S:1:pos:R:3 comment="GGA-PBE LiCd2, relaxed" dft_energy_ev_per_atom=-1.34 pbc="T T T"
Cd 3.5223 2.2242 5.0715
Cd 1.0314 3.5165 5.4446
Cd 2.7056 3.0008 7.6683
Cd 1.3986 0.8610 6.3542
Li 0.0000 0.0000 0.0000
Li 1.0822 1.2003 3.0673

=====

4
Lattice="0.0000 3.4135 3.4135 3.4135 0.0000 3.4135 3.4135 3.4135 0.0000" Properties=species:S:1:pos:R:3 comment="GGA-PBE LiCd3, relaxed" dft_energy_ev_per_atom=-1.33 pbc="T T T"
Cd 1.7067 1.7067 1.7067
Cd 5.1202 5.1202 5.1202
Cd 3.4135 3.4135 3.4135
Li 0.0000 0.0000 0.0000

=====

52
Lattice="-5.4063 7.3065 -4.2596 1.7571 -3.9748 -9.0483 -8.2730 -5.6190 0.8618" Properties=species:S:1:pos:R:3 comment="GGA-PBE Li3Cd10, relaxed" dft_energy_ev_per_atom=-1.25 pbc="T T T"
Cd -7.3540 -0.2488 -10.4148
Cd -5.0860 0.5504 -8.9048
Cd -1.9108 2.5824 -1.5055
Cd -0.9670 -2.9756 -8.0511
Cd -2.6285 -0.8318 -9.2410
Cd -5.8373 0.7415 -5.7850
Cd -8.1802 -3.9743 -8.9386
Cd 1.1361 -2.5700 -5.8502
Cd -6.5962 0.2931 -2.9523
Cd -5.0416 -2.3600 -1.9819
Cd -7.9941 2.5915 -4.7304
Cd -5.3489 -3.6330 0.5572
Cd -5.1031 3.0653 -7.5868
Cd -5.3260 -2.5805 -9.4937
Cd -7.2909 -1.3988 -7.6113
Cd -6.3825 -7.5618 -7.7143
Cd -5.6021 4.3241 -4.9526
Cd -10.2449 -0.7227 -7.5584
Cd -8.8826 -0.0720 -5.1536
Cd -9.8183 -1.8837 -10.2497
Cd -2.9240 -1.9860 0.3046
Cd -3.7047 -0.7108 -3.8675
Cd -6.4768 -2.1421 -4.6425
Cd -2.9707 0.8874 -6.5345
Cd -3.4955 4.7241 -2.7541
Cd -6.9196 -5.1252 -4.3415
Cd -11.8233 1.0067 -4.0772
Cd 0.6210 -1.4049 -3.1981
Cd -3.4548 -4.5573 -7.7649
Cd -4.2052 2.2555 -11.6041
Cd -4.0069 -3.7848 -4.6833
Cd -8.9843 -1.8736 -2.9612
Cd -1.4335 -0.2750 -1.4965
Cd -1.5767 -1.7921 -5.4054
Cd -6.1711 -4.3423 -6.9662
Cd -7.4570 -4.0395 -1.6387
Cd -4.2393 -1.7753 -6.8533
Cd -8.9515 -3.1748 -5.9115
Cd -4.0513 2.1051 -3.7511
Cd -7.9153 1.4974 -7.7627
Li -4.6330 -6.3675 -5.7455
Li -2.7508 2.1196 -9.1083
Li -10.3726 1.9859 -6.3793
Li -8.5165 -5.8884 -6.7101
Li -9.3366 1.0400 -2.6012
Li -4.6006 -0.6041 -11.4324
Li -11.1865 -1.6837 -4.9253
Li -2.2045 -2.7917 -2.6943
Li -4.2382 0.4110 -1.3348
Li -6.6343 2.5987 -10.0729
Li -1.3906 0.8778 -4.1483
Li -5.6690 -5.4216 -9.5236